1.
# SrP2W (GGA-PBE, relaxed)
data_SrP2W
_space_group_name_H-M_alt 'R -3 m'
_space_group_IT_number 166
_space_group_name_Hall '-R 3 2"'
_cell_length_a 3.6833
_cell_length_b 3.6833
_cell_length_c 20.4214
_cell_angle_alpha 90.00
_cell_angle_beta 90.00
_cell_angle_gamma 120.00
loop_
_atom_site_label
_atom_site_type_symbol
_atom_site_fract_x
_atom_site_fract_y
_atom_site_fract_z
_atom_site_occupancy
Sr1 Sr 0.0000 0.0000 0.0000 1
P1 P 0.0000 0.0000 0.2327 1
W1 W 0.0000 0.0000 0.5000 1
# total energy: -0.2514 hartree per atom
# magnetic moment: 0.00 μB per cell
# energy above the most stable polymorph in this dataset: 0.0000 eV/atom
# formation energy: -1.91 eV/f.u.
# density of states at the Fermi level: 0.22 states/eV per atom

=====

2.
# ZrMo2Br (GGA-PBE, relaxed)
data_ZrMo2Br
_space_group_name_H-M_alt 'P 4/m m m'
_space_group_IT_number 123
_space_group_name_Hall '-P 4 2'
_cell_length_a 3.781
_cell_length_b 3.781
_cell_length_c 5.060
_cell_angle_alpha 90.00
_cell_angle_beta 90.00
_cell_angle_gamma 90.00
loop_
_atom_site_label
_atom_site_type_symbol
_atom_site_fract_x
_atom_site_fract_y
_atom_site_fract_z
_atom_site_occupancy
Zr1 Zr 0.000 0.000 0.000 1
Mo1 Mo 0.000 0.500 0.500 1
Br1 Br 0.500 0.500 0.000 1
# total energy: -0.2738 hartree per atom
# magnetic moment: 0.00 μB per cell
# energy above the most stable polymorph in this dataset: 0.4066 eV/atom
# density of states at the Fermi level: 0.59 states/eV per atom
# ΔE_f (raw): 0.5212 eV per atom

=====

3.
# HoU2As3 (GGA-PBE, relaxed)
data_HoU2As3
_space_group_name_H-M_alt 'P 1 21/c 1'
_space_group_IT_number 14
_space_group_name_Hall '-P 2ybc'
_cell_length_a 5.781
_cell_length_b 12.279
_cell_length_c 8.163
_cell_angle_alpha 90.00
_cell_angle_beta 90.06
_cell_angle_gamma 90.00
loop_
_atom_site_label
_atom_site_type_symbol
_atom_site_fract_x
_atom_site_fract_y
_atom_site_fract_z
_atom_site_occupancy
Ho1 Ho 0.250 0.083 0.124 1
U1 U 0.249 0.083 0.624 1
U2 U 0.251 0.750 0.124 1
As1 As 0.249 0.249 0.874 1
As2 As 0.250 0.584 0.374 1
As3 As 0.251 0.583 0.874 1
# total energy: -0.2879 hartree per atom
# magnetic moment: 19.94 μB per cell
# formation energy: -5.91 eV/f.u.
# density of states at the Fermi level: 2.08 states/eV per atom